VASP calculation (PBE) on a relaxed ZnTe2Pb2 crystal.

```
10
Lattice="8.665 0.000 0.000 0.000 8.665 0.000 0.000 0.000 4.290" Properties=species:S:1:pos:R:3 pbc="T T T"
Pb 5.614 1.281 0.000
Pb 7.383 5.614 0.000
Te 5.687 7.310 2.145
Zn 0.000 0.000 0.000
Pb 3.051 7.383 0.000
Te 7.310 2.977 2.145
Zn 4.332 4.332 0.000
Pb 1.281 3.051 0.000
Te 2.977 1.355 2.145
Te 1.355 5.687 2.145
```

Calculated values
D(E_F) (states/eV/cell): 0.37
Polymorph energy (0 for the lowest one) (meV/atom): 0
Crystal system: tetragonal
SG: P4/mbm (127)
Formation energy from raw total energies (meV/atom): -56.8
E (Ry per atom): -0.224